Arrangement P

## MoAs3 (GGA-PBE)

Data for a relaxed MoAs3 crystal.

Lattice parameters (Å, degrees): 4.993 3.626 4.091 83.93 90.00 90.00
Last column: magnetic moment on the atom in μB.
Fractional positions:
As 0.500 0.750 0.750  -0.01
As 0.000 0.028 0.046  -0.01
As 0.000 0.472 0.454  -0.01
Mo 0.500 0.250 0.250  0.42

Output
* size of the total moment: 0.44 μB per formula unit
* calculated density: 7.23 g cm⁻³
* V: 18.413 Å³ per atom


Arrangement Q

## MoAs3 (GGA-PBE)

Data for a relaxed MoAs3 crystal.

Lattice parameters (Å, degrees): 5.129 5.129 5.135 142.03 117.45 75.62
Fractional positions:
As 0.286 0.310 0.976
As 0.118 0.500 0.619
As 0.666 0.690 0.975
Mo 0.763 0.000 0.763

Output
* size of the total moment: 0.00 μB per formula unit
* calculated density: 7.39 g cm⁻³
* V: 18.027 Å³ per atom


Arrangement R

## MoAs3 (GGA-PBE)

Data for a relaxed MoAs3 crystal.

Lattice parameters (Å, degrees): 6.204 6.204 5.220 90.00 90.00 130.42
Fractional positions:
Mo 0.483 0.517 0.750
Mo 0.517 0.483 0.250
As 0.978 0.022 0.250
As 0.972 0.538 0.250
As 0.028 0.462 0.750
As 0.538 0.972 0.750
As 0.462 0.028 0.250
As 0.022 0.978 0.750

Output
* size of the total moment: 0.00 μB per formula unit
* calculated density: 6.96 g cm⁻³
* V: 19.121 Å³ per atom


Arrangement S

## MoAs3 (GGA-PBE)

Data for a relaxed MoAs3 crystal.

Lattice parameters (Å, degrees): 4.687 4.687 3.214 90.00 90.00 105.07
Fractional positions:
As 0.500 0.000 0.500
As 0.500 0.500 0.000
As 0.000 0.500 0.500
Mo 0.000 0.000 0.000

Output
* size of the total moment: 0.00 μB per formula unit
* calculated density: 7.81 g cm⁻³
* V: 17.044 Å³ per atom


The structure with the greatest stability is arrangement Q.


Arrangement P

## Mo5As4 (GGA-PBE)

Data for a relaxed Mo5As4 crystal.

Lattice parameters (Å, degrees): 6.893 6.893 6.893 93.03 93.03 153.43
Fractional positions:
Mo 0.051 0.342 0.393
Mo 0.658 0.051 0.709
Mo 0.949 0.658 0.607
Mo 0.342 0.949 0.291
Mo 0.000 0.000 0.000
As 0.674 0.642 0.316
As 0.642 0.326 0.967
As 0.358 0.674 0.033
As 0.326 0.358 0.684

Output
* size of the total moment: 0.00 μB per formula unit
* calculated density: 9.08 g cm⁻³
* V: 15.836 Å³ per atom


Arrangement Q

## Mo5As4 (GGA-PBE)

Data for a relaxed Mo5As4 crystal.

Lattice parameters (Å, degrees): 7.050 7.050 7.050 93.10 93.10 153.09
Fractional positions:
Mo 0.621 0.298 0.919
Mo 0.379 0.702 0.081
Mo 0.000 0.000 0.000
Mo 0.702 0.621 0.323
Mo 0.298 0.379 0.677
As 0.286 0.943 0.229
As 0.714 0.057 0.771
As 0.943 0.714 0.657
As 0.057 0.286 0.343

Output
* size of the total moment: 0.00 μB per formula unit
* calculated density: 8.39 g cm⁻³
* V: 17.140 Å³ per atom


The structure with the greatest stability is arrangement Q.


Arrangement P

## Mo3As4 (GGA-PBE)

Data for a relaxed Mo3As4 crystal.

Lattice parameters (Å, degrees): 5.344 5.344 4.928 90.00 90.00 120.00
Fractional positions:
Mo 0.500 0.000 0.000
Mo 0.000 0.500 0.000
Mo 0.500 0.500 0.000
As 0.000 0.000 0.749
As 0.000 0.000 0.251
As 0.333 0.667 0.500
As 0.667 0.333 0.500

Output
* size of the total moment: 0.00 μB per formula unit
* calculated density: 8.00 g cm⁻³
* V: 17.411 Å³ per atom


Arrangement Q

## Mo3As4 (GGA-PBE)

Data for a relaxed Mo3As4 crystal.

Lattice parameters (Å, degrees): 10.574 10.574 10.574 161.96 161.96 25.62
Fractional positions:
Mo 0.296 0.296 0.000
Mo 0.000 0.000 0.000
Mo 0.704 0.704 0.000
As 0.432 0.432 0.000
As 0.155 0.155 0.000
As 0.845 0.845 0.000
As 0.568 0.568 0.000

Output
* size of the total moment: 0.00 μB per formula unit
* calculated density: 8.60 g cm⁻³
* V: 16.200 Å³ per atom


The structure with the greatest stability is arrangement Q.


Arrangement P

## Mo4As3 (GGA-PBE)

Data for a relaxed Mo4As3 crystal.

Lattice parameters (Å, degrees): 10.946 10.946 10.946 163.14 163.14 23.93
Fractional positions:
Mo 0.847 0.847 0.000
Mo 0.569 0.569 0.000
Mo 0.431 0.431 0.000
Mo 0.153 0.153 0.000
As 0.000 0.000 0.000
As 0.294 0.294 0.000
As 0.706 0.706 0.000

Output
* size of the total moment: 0.00 μB per formula unit
* calculated density: 9.17 g cm⁻³
* V: 15.751 Å³ per atom


Arrangement Q

## Mo4As3 (GGA-PBE)

Data for a relaxed Mo4As3 crystal.

Lattice parameters (Å, degrees): 5.188 5.188 4.910 90.00 90.00 120.00
Fractional positions:
Mo 0.333 0.667 0.500
Mo 0.667 0.333 0.500
Mo 0.000 0.000 0.744
Mo 0.000 0.000 0.256
As 0.000 0.500 0.000
As 0.500 0.000 0.000
As 0.500 0.500 0.000

Output
* size of the total moment: 0.00 μB per formula unit
* calculated density: 8.83 g cm⁻³
* V: 16.349 Å³ per atom


The structure with the greatest stability is arrangement P.


Arrangement P

## Mo5As (GGA-PBE)

Data for a relaxed Mo5As crystal.

Lattice parameters (Å, degrees): 6.884 6.884 4.351 90.00 90.00 153.03
Fractional positions:
Mo 0.832 0.168 0.000
Mo 0.168 0.832 0.000
Mo 0.334 0.666 0.500
Mo 0.666 0.334 0.500
Mo 0.000 0.000 0.500
As 0.500 0.500 0.000

Output
* size of the total moment: 0.00 μB per formula unit
* calculated density: 9.85 g cm⁻³
* V: 15.580 Å³ per atom


Arrangement Q

## Mo5As (GGA-PBE)

Data for a relaxed Mo5As crystal.

Lattice parameters (Å, degrees): 5.197 5.197 6.251 72.05 72.05 35.90
Fractional positions:
Mo 0.000 0.000 0.500
Mo 0.331 0.331 0.835
Mo 0.334 0.334 0.334
Mo 0.669 0.669 0.165
Mo 0.666 0.666 0.666
As 0.000 0.000 0.000

Output
* size of the total moment: 0.00 μB per formula unit
* calculated density: 9.83 g cm⁻³
* V: 15.610 Å³ per atom


Arrangement R

## Mo5As (GGA-PBE)

Data for a relaxed Mo5As crystal.

Lattice parameters (Å, degrees): 5.034 5.034 4.825 90.00 90.00 120.00
Fractional positions:
Mo 0.500 0.000 0.500
Mo 0.333 0.667 0.000
Mo 0.500 0.500 0.500
Mo 0.667 0.333 0.000
Mo 0.000 0.500 0.500
As 0.000 0.000 0.000

Output
* size of the total moment: 0.00 μB per formula unit
* calculated density: 8.70 g cm⁻³
* V: 17.650 Å³ per atom


The structure with the greatest stability is arrangement Q.


Arrangement P

## Mo3As2 (GGA-PBE)

Data for a relaxed Mo3As2 crystal.

Lattice parameters (Å, degrees): 10.281 10.281 10.281 16.85 16.85 16.85
Fractional positions:
Mo 0.798 0.798 0.798
Mo 0.000 0.000 0.000
Mo 0.202 0.202 0.202
As 0.601 0.601 0.601
As 0.399 0.399 0.399

Output
* size of the total moment: 0.00 μB per formula unit
* calculated density: 9.13 g cm⁻³
* V: 15.925 Å³ per atom


Arrangement Q

## Mo3As2 (GGA-PBE)

Data for a relaxed Mo3As2 crystal.

Lattice parameters (Å, degrees): 8.437 7.561 5.119 80.94 62.25 36.82
Fractional positions:
Mo 0.500 0.500 0.500
Mo 0.115 0.115 0.885
Mo 0.135 0.135 0.365
Mo 0.365 0.365 0.135
Mo 0.750 0.750 0.750
Mo 0.885 0.885 0.115
As 0.559 0.559 0.941
As 0.691 0.691 0.309
As 0.309 0.309 0.691
As 0.941 0.941 0.559

Output
* size of the total moment: 0.00 μB per formula unit
* calculated density: 9.18 g cm⁻³
* V: 15.826 Å³ per atom


The structure with the greatest stability is arrangement Q.


Arrangement P

## MoAs3N (GGA-PBE)

Data for a relaxed MoAs3N crystal.

Lattice parameters (Å, degrees): 4.257 4.257 4.257 90.00 90.00 90.00
Last column: magnetic moment on the atom in μB.
Fractional positions:
As 0.500 0.000 0.000  -0.02
As 0.000 0.500 0.000  -0.04
As 0.000 0.000 0.500  -0.05
N 0.000 0.000 0.000  -0.04
Mo 0.500 0.500 0.500  1.67

Output
* size of the total moment: 1.71 μB per formula unit
* calculated density: 7.21 g cm⁻³
* V: 15.426 Å³ per atom


Arrangement Q

## MoAs3N (GGA-PBE)

Data for a relaxed MoAs3N crystal.

Lattice parameters (Å, degrees): 4.876 4.876 4.876 90.00 90.00 90.00
Last column: magnetic moment on the atom in μB.
Fractional positions:
As 0.000 0.500 0.000  -0.07
As 0.000 0.000 0.500  -0.09
As 0.500 0.000 0.000  -0.05
Mo 0.000 0.000 0.000  0.06
N 0.500 0.500 0.500  1.64

Output
* size of the total moment: 2.09 μB per formula unit
* calculated density: 4.80 g cm⁻³
* V: 23.180 Å³ per atom


The structure with the greatest stability is arrangement P.


Arrangement P

## MoAsS2N (GGA-PBE)

Data for a relaxed MoAsS2N crystal.

Lattice parameters (Å, degrees): 4.820 4.820 3.580 90.00 90.00 90.00
Last column: magnetic moment on the atom in μB.
Fractional positions:
S 0.000 0.500 0.000  -0.10
S 0.500 0.000 0.000  -0.10
Mo 0.500 0.500 0.500  3.04
N 0.000 0.000 0.500  0.01
As 0.000 0.000 0.000  0.02

Output
* size of the total moment: 3.37 μB per formula unit
* calculated density: 4.97 g cm⁻³
* V: 16.634 Å³ per atom


Arrangement Q

## MoAsS2N (GGA-PBE)

Data for a relaxed MoAsS2N crystal.

Lattice parameters (Å, degrees): 4.837 4.837 3.771 90.00 90.00 90.00
Fractional positions:
Mo 0.000 0.000 0.000
S 0.500 0.000 0.000
S 0.000 0.500 0.000
As 0.500 0.500 0.500
N 0.000 0.000 0.500

Output
* size of the total moment: 0.00 μB per formula unit
* calculated density: 4.69 g cm⁻³
* V: 17.645 Å³ per atom


The structure with the greatest stability is arrangement Q.